# 1
First-principles (SCAN) data for a crystal of ZnPtRh2 relaxed with PBEsol, as listed in the Alexandria database.

Its energy relative to the elements is -1.08 eV per formula unit. The calculated volume is 110 Å³ per cell.

It has space group I-4m2 (No. 119), with a = 3.814 Å, b = 3.814 Å, c = 7.539 Å, α = 90.00°, β = 90.00° and γ = 90.00°. The asymmetric unit holds Zn at (0.000, 0.000, 0.000), Pt at (0.000, 0.500, 0.250), Rh at (0.000, 0.000, 0.500) and Rh at (0.000, 0.500, 0.750).

# 2
First-principles (SCAN) data for a crystal of ZrBeCl2 relaxed with PBEsol, as listed in the Alexandria database.

The calculated volume is 83 Å³ per cell. The value obtained for the formation energy (no corrections) is -0.425 eV/atom.

It has space group P4/mmm (No. 123), with a = 3.085 Å, b = 3.085 Å, c = 8.732 Å, α = 90.00°, β = 90.00° and γ = 90.00°. The asymmetric unit holds Zr at (0.000, 0.000, 0.000), Be at (0.000, 0.000, 0.500) and Cl at (0.500, 0.500, 0.175).

# 3
First-principles (SCAN) data for a crystal of PtAu2 relaxed with PBEsol, as listed in the Alexandria database.

Its energy relative to the elements is 0.33 eV per formula unit. The calculated volume is 49 Å³ per cell.

It has space group P-3m1 (No. 164), with a = 4.5202 Å, b = 4.5202 Å, c = 2.7633 Å, α = 90.00°, β = 90.00° and γ = 120.00°. The asymmetric unit holds Pt at (0.0000, 0.0000, 0.0000) and Au at (0.3333, 0.6667, 0.3389).

# 4
First-principles (SCAN) data for a crystal of LiNi2P relaxed with PBEsol, as listed in the Alexandria database.

Its energy relative to the elements is -0.79 eV per formula unit. The calculated volume is 84 Å³ per cell.

It has space group C2/m (No. 12), with a = 5.064 Å, b = 7.479 Å, c = 2.513 Å, α = 90.00°, β = 117.45° and γ = 90.00°. The asymmetric unit holds Li at (0.000, 0.000, 0.000), Ni at (0.250, 0.250, 0.500) and P at (0.000, 0.500, 0.000).

# 5
First-principles (SCAN) data for a crystal of YZr3 relaxed with PBEsol, as listed in the Alexandria database.

Its energy relative to the elements is 0.61 eV per formula unit. The calculated volume is 189 Å³ per cell.

It has space group I4/mmm (No. 139), with a = 4.568 Å, b = 4.568 Å, c = 9.063 Å, α = 90.00°, β = 90.00° and γ = 90.00°. The asymmetric unit holds Y at (0.000, 0.000, 0.000), Zr at (0.000, 0.000, 0.500) and Zr at (0.000, 0.500, 0.250).

# 6
First-principles (SCAN) data for a crystal of SrAg4Pb relaxed with PBEsol, as listed in the Alexandria database.

Its energy relative to the elements is -1.48 eV per formula unit. The calculated volume is 506 Å³ per cell.

It has space group F-43m (No. 216), with a = 7.970 Å, b = 7.970 Å, c = 7.970 Å, α = 90.00°, β = 90.00° and γ = 90.00°. The asymmetric unit holds Sr at (0.000, 0.000, 0.000), Ag at (0.125, 0.125, 0.375) and Pb at (0.250, 0.250, 0.750).

# 7
First-principles (SCAN) data for a crystal of CrPtRh3 relaxed with PBEsol, as listed in the Alexandria database.

Its energy relative to the elements is 7.18 eV per formula unit. The calculated volume is 103 Å³ per cell.

It has space group Pm-3m (No. 221), with a = 4.680 Å, b = 4.680 Å, c = 4.680 Å, α = 90.00°, β = 90.00° and γ = 90.00°. The asymmetric unit holds Cr at (0.000, 0.000, 0.000), Pt at (0.500, 0.500, 0.500) and Rh at (0.000, 0.500, 0.500).

# 8
First-principles (SCAN) data for a crystal of K3PrP2O8 relaxed with PBEsol, as listed in the Alexandria database.

The calculated volume is 401 Å³ per cell. The value obtained for the formation energy (no corrections) is -2.864 eV/atom.

It has space group P2_1/m (No. 11), with a = 7.444 Å, b = 5.645 Å, c = 9.553 Å, α = 90.00°, β = 90.84° and γ = 90.00°. The asymmetric unit holds K at (0.008, 0.250, 0.190), K at (0.139, 0.750, 0.406), K at (0.300, 0.250, 0.917), Pr at (0.493, 0.750, 0.707), P at (0.264, 0.750, 0.085), P at (0.302, 0.250, 0.574), O at (0.059, 0.750, 0.099), O at (0.216, 0.250, 0.425), O at (0.244, 0.025, 0.655), O at (0.320, 0.750, 0.929), O at (0.344, 0.526, 0.158) and O at (0.491, 0.750, 0.444).